The following is a PBE with a Hubbard U calculation of crystalline SrReNiF2 at its relaxed geometry, from Alexandria.

The magnetization is 4.67 Bohr magnetons per cell. The value obtained for the total energy is -4.198 eV/atom. Its crystal system is tetragonal.

The space group is P4/mmm (No. 123) and the conventional cell measures 4.374, 4.374 and 6.348 Å, with angles of 90.00, 90.00 and 90.00 degrees. Symmetry generates all atoms from Sr at (0.000, 0.000, 0.000), Re at (0.500, 0.500, 0.500), Ni at (0.000, 0.000, 0.500) and F at (0.000, 0.500, 0.000).